Material: InSiTe2AuSe
Method: DFT, PBE-GGA
State: optimized geometry

The structure in POSCAR format:
```
InSiTe2AuSe
1.0
-2.7298 4.4348 -5.9940
-0.8200 -6.1892 4.9059
-4.9860 5.9499 6.6729
Au In Se Si Te
2 2 2 2 4
Direct
0.1307 0.8693 0.2500 Au
0.8693 0.1307 0.7500 Au
0.7515 0.2485 0.2500 In
0.2485 0.7515 0.7500 In
0.5100 0.4900 0.2500 Se
0.4900 0.5100 0.7500 Se
0.5000 0.5000 0.0000 Si
0.5000 0.5000 0.5000 Si
0.8743 0.1257 0.0182 Te
0.8743 0.1257 0.4818 Te
0.1257 0.8743 0.5182 Te
0.1257 0.8743 0.9818 Te
```

As for the calculated total energy: -43.069 eV for the cell shown.


Material: InSnTeAuSe2
Method: DFT, PBE-GGA
State: optimized geometry

The structure in POSCAR format:
```
InSnTeAuSe2
1.0
2.0658 -6.8854 0.0000
2.0658 6.8854 0.0000
0.0000 0.0000 11.4759
Au In Se Sn Te
2 2 4 2 2
Direct
0.1427 0.8573 0.2500 Au
0.8573 0.1427 0.7500 Au
0.7882 0.2118 0.2500 In
0.2118 0.7882 0.7500 In
0.1413 0.8587 0.0320 Se
0.1413 0.8587 0.4680 Se
0.8587 0.1413 0.5320 Se
0.8587 0.1413 0.9680 Se
0.5000 0.5000 0.0000 Sn
0.5000 0.5000 0.5000 Sn
0.4509 0.5491 0.2500 Te
0.5491 0.4509 0.7500 Te
```

As for the calculated total energy: -42.928 eV for the cell shown.


Material: TaInTeAuSe2
Method: DFT, PBE-GGA
State: optimized geometry

The structure in POSCAR format:
```
TaInTeAuSe2
1.0
-3.4360 3.0073 -6.7589
2.1775 -5.9800 5.1020
-9.1186 1.0229 5.0907
Au In Se Ta Te
2 2 4 2 2
Direct
0.0519 0.9481 0.2500 Au
0.9481 0.0519 0.7500 Au
0.7257 0.2743 0.2500 In
0.2743 0.7257 0.7500 In
0.1201 0.8799 0.0305 Se
0.1201 0.8799 0.4695 Se
0.8799 0.1201 0.5305 Se
0.8799 0.1201 0.9695 Se
0.5000 0.5000 0.0000 Ta
0.5000 0.5000 0.5000 Ta
0.4136 0.5864 0.2500 Te
0.5864 0.4136 0.7500 Te
```

As for the calculated total energy: -58.687 eV for the cell shown. The total moment is 0.005 Bohr magnetons per cell.


Material: TaInTe2AuSe
Method: DFT, PBE-GGA
State: optimized geometry

The structure in POSCAR format:
```
TaInTe2AuSe
1.0
-0.7309 2.3255 -7.6104
-2.3067 -4.2595 6.3558
-6.0820 7.6558 2.9235
Au In Se Ta Te
2 2 2 2 4
Direct
0.9611 0.0389 0.2500 Au
0.0389 0.9611 0.7500 Au
0.2485 0.7515 0.2500 In
0.7515 0.2485 0.7500 In
0.5775 0.4225 0.2500 Se
0.4225 0.5775 0.7500 Se
0.5000 0.5000 0.0000 Ta
0.5000 0.5000 0.5000 Ta
0.8627 0.1373 0.0330 Te
0.8627 0.1373 0.4670 Te
0.1373 0.8627 0.5330 Te
0.1373 0.8627 0.9670 Te
```

As for the calculated total energy: -56.732 eV for the cell shown. The total moment is 0.011 Bohr magnetons per cell.


Look up the calculated total energy of the second one. -42.928 eV for the cell shown